Density functional theory data (PBE with a Hubbard U) for a geometry-optimized Ba2CoGe2O7 structure.

Structure (extended XYZ):
```
24
Lattice="-3.833 -4.027 0.945 2.121 -3.736 -7.319 5.853 -4.619 4.054" Properties=species:S:1:pos:R:3 pbc="T T T"
Co 3.987 -4.178 -1.632
Ge -1.283 -6.056 1.334
O 5.060 -5.689 2.564
Co 0.000 0.000 0.000
Ge 1.889 -10.041 -2.782
O -0.636 -5.959 -3.420
O -1.873 -4.421 0.929
O 0.014 -6.398 0.157
O 3.016 -8.273 1.535
O 2.366 -4.380 -2.784
O 1.376 -3.276 0.714
Ge 2.035 -3.201 -4.083
Ba -0.269 -4.060 -1.295
O 4.177 -5.480 -0.128
Ge 5.642 -5.467 0.891
O 1.483 -4.171 -5.475
O 3.613 -10.484 -2.657
O 0.440 -2.520 -3.507
Ba 4.348 -8.387 -1.009
Ba 1.841 -6.643 -4.286
O -0.286 -5.685 2.819
O 1.726 -8.507 -1.884
Ba 2.362 -5.675 1.951
O 4.526 -7.256 -3.468
```

Total moment: 3.0 μB per formula unit
SG: P-42_1m (113)
Final energy: -6.511 eV/atom